BaCaCr4O8 after structural relaxation, computed with PBE+U.

Values from the calculation:
As for the total energy: -7.16 eV per atom.

Unit cell a=5.5021 b=5.5021 c=7.8424 alpha=90.00 beta=90.00 gamma=120.00
Sites, in units of the cell vectors:
Ba  0.0000  0.0000  0.0000
Ca  0.0000  0.0000  0.5000
Cr  0.3333  0.6667  0.2409
Cr  0.3333  0.6667  0.7591
Cr  0.6667  0.3333  0.2409
Cr  0.6667  0.3333  0.7591
O  0.0000  0.3281  0.3031
O  0.0000  0.6719  0.6969
O  0.3281  0.0000  0.3031
O  0.3281  0.3281  0.6969
O  0.3333  0.6667  0.0000
O  0.6667  0.3333  0.0000
O  0.6719  0.0000  0.6969
O  0.6719  0.6719  0.3031